(1)
LaSe2: optimized geometry, GGA-PBE.

abc: 4.2262 4.2262 17.4129
angles: 90.00 90.00 90.00
Last column: nearest neighbours and their distance in Å.
Space group I4/mmm (No. 139)
One atom of each set of equivalent atoms:
1 La 0.0000 0.0000 0.1378 [4 per cell]  9 Se 3.09-3.20
2 Se 0.0000 0.0000 0.3162 [4 per cell]  5 La 3.09-3.11
3 Se 0.0000 0.5000 0.0000 [4 per cell]  4 Se 2.99, 4 La 3.20

Computed properties:
As for the uncorrected formation energy: -1.720 eV per atom. The mass density is 6339 kg/m³. The value obtained for the total energy is -5.69 eV/atom. The crystal system is tetragonal.

---

(2)
La10Se19: optimized geometry, GGA-PBE.

abc: 9.4972 9.4972 17.2075
angles: 90.00 90.00 90.00
Last column: nearest neighbours and their distance in Å.
Space group P4_2/n (No. 86, origin choice 2)
One atom of each set of equivalent atoms:
1 La 0.0439 0.1531 0.1197 [8 per cell]  9 Se 3.08-3.32
2 La 0.0535 0.1487 0.6039 [8 per cell]  8 Se 3.05-3.23
3 La 0.2500 0.7500 0.1155 [4 per cell]  9 Se 3.07-3.20
4 Se 0.0290 0.6747 0.2496 [8 per cell]  1 Se 2.57
5 Se 0.0484 0.1522 0.4267 [8 per cell]  5 La 3.05-3.16
6 Se 0.0525 0.1492 0.9363 [8 per cell]  5 La 3.05-3.16
7 Se 0.0689 0.6143 0.7509 [8 per cell]  1 Se 2.57
8 Se 0.2500 0.2500 0.2500 [2 per cell]  4 La 3.12, 4 Se 3.29
9 Se 0.2500 0.7500 0.4341 [4 per cell]  5 La 3.08-3.12

Computed properties:
As for the uncorrected formation energy: -1.822 eV per atom. The mass density is 6182 kg/m³. The value obtained for the total energy is -5.80 eV/atom. The crystal system is tetragonal.